Record 1
The following is a DFT calculation (PBE) of a relaxed structure of K2MnMo.

Unit cell a=6.980 b=6.980 c=6.980 alpha=152.37 beta=126.23 gamma=61.51
Atoms (fractional coordinates):
Mn: 0.445 0.445 0.000
Mo: 0.319 0.819 0.500
K: 0.019 0.019 0.000
K: 0.718 0.218 0.500

Calculated values
**Fermi-level density of states**: 3.0 states/eV/cell
**Energy relative to the elements**: 1.0726 eV per atom
**SG**: No. 44
**Offset from the most stable computed form**: 265 meV/atom
**E**: -4.476 eV/atom


Record 2
The following is a DFT calculation (PBE) of a relaxed structure of BaNbMo3.

Unit cell a=4.882 b=4.882 c=4.882 alpha=90.00 beta=90.00 gamma=90.00
Atoms (fractional coordinates):
Nb: 0.500 0.500 0.500
Mo: 0.000 0.000 0.500
Mo: 0.000 0.500 0.000
Mo: 0.500 0.000 0.000
Ba: 0.000 0.000 0.000

Calculated values
**Fermi-level density of states**: 9.7 states/eV/cell
**Energy relative to the elements**: 3.0808 eV per atom
**SG**: No. 221
**Offset from the most stable computed form**: 1506 meV/atom
**E**: -5.816 eV/atom


Record 3
The following is a DFT calculation (PBE) of a relaxed structure of TmTcBi2O8.

Unit cell a=5.165 b=5.162 c=6.679 alpha=90.00 beta=90.00 gamma=89.35
Atoms (fractional coordinates):
O: 0.254 0.249 0.000
O: 0.178 0.819 0.779
O: 0.746 0.751 0.000
O: 0.822 0.181 0.221
O: 0.178 0.819 0.221
O: 0.822 0.181 0.779
O: 0.306 0.303 0.500
O: 0.694 0.697 0.500
Bi: 0.500 0.500 0.751
Bi: 0.500 0.500 0.249
Tc: 0.000 0.000 0.000
Tm: 0.000 0.000 0.500

Calculated values
**Fermi-level density of states**: 1.7 states/eV/cell
**Raw formation energy**: -161.79 kJ/mol of atoms
**SG**: No. 10
**E**: -6.866 eV/atom


Record 4
The following is a DFT calculation (PBE) of a relaxed structure of Ta2O3.

Unit cell a=6.127 b=6.127 c=7.598 alpha=66.59 beta=66.59 gamma=26.82
Atoms (fractional coordinates):
Ta: 0.836 0.836 0.845
Ta: 0.164 0.164 0.155
Ta: 0.660 0.660 0.643
Ta: 0.340 0.340 0.357
O: 0.138 0.138 0.445
O: 0.527 0.527 0.209
O: 0.862 0.862 0.555
O: 0.186 0.186 0.847
O: 0.814 0.814 0.153
O: 0.473 0.473 0.791

Calculated values
**Fermi-level density of states**: 1.4 states/eV/cell
**Raw formation energy**: -210.44 kJ/mol of atoms
**SG**: No. 12
**E**: -9.897 eV/atom


Question: What is the Fermi-level density of states in the third record?
Answer: 1.7 states/eV/cell


Question: What is the E in the fourth record?
Answer: -9.897 eV/atom


Question: The highest Fermi-level density of states belongs to which entry?
Answer: BaNbMo3